First-principles (GGA-PBE) data for crystalline AcNdPAu at its relaxed geometry, as listed in Alexandria.

Lattice parameters (Å, degrees): 7.497 7.497 7.497 90.00 90.00 90.00
Space group F-43m (No. 216)
Symmetry-distinct sites (fractional):
Ac: 0.000 0.000 0.000 [4 per cell]
Nd: 0.000 0.000 0.500 [4 per cell]
P: 0.250 0.250 0.250 [4 per cell]
Au: 0.250 0.250 0.750 [4 per cell]

Values from the calculation:
formation energy from the elements = -3.19 eV per formula unit